1.
VASP calculation (PBE) on a relaxed Cr2FeHRh crystal.

Properties
**Raw total energy**: -7.635 eV per atom
**Distance to the lowest polymorph of the same formula**: 0.16 eV per formula unit

Geometry as CIF:
```
data_Cr2FeHRh
_symmetry_space_group_name_H-M 'P 4/m m m'
_symmetry_Int_Tables_number 123
_symmetry_space_group_name_Hall '-P 4 2'
_cell_length_a 3.6933
_cell_length_b 3.6933
_cell_length_c 3.7799
_cell_angle_alpha 90.00
_cell_angle_beta 90.00
_cell_angle_gamma 90.00
loop_
_atom_site_label
_atom_site_type_symbol
_atom_site_fract_x
_atom_site_fract_y
_atom_site_fract_z
_atom_site_occupancy
Cr1 Cr 0.0000 0.5000 0.0000 1
Fe1 Fe 0.0000 0.0000 0.5000 1
H1 H 0.5000 0.5000 0.0000 1
Rh1 Rh 0.5000 0.5000 0.5000 1
```

***

2.
VASP calculation (PBE) on a relaxed CrFeHRh2 crystal.

Properties
**Raw total energy**: -7.171 eV per atom
**Distance to the lowest polymorph of the same formula**: 0.00 eV per formula unit

Geometry as CIF:
```
data_CrFeHRh2
_symmetry_space_group_name_H-M 'P 4/m m m'
_symmetry_Int_Tables_number 123
_symmetry_space_group_name_Hall '-P 4 2'
_cell_length_a 3.7811
_cell_length_b 3.7811
_cell_length_c 3.7017
_cell_angle_alpha 90.00
_cell_angle_beta 90.00
_cell_angle_gamma 90.00
loop_
_atom_site_label
_atom_site_type_symbol
_atom_site_fract_x
_atom_site_fract_y
_atom_site_fract_z
_atom_site_occupancy
Cr1 Cr 0.0000 0.0000 0.0000 1
Fe1 Fe 0.5000 0.5000 0.0000 1
H1 H 0.5000 0.5000 0.5000 1
Rh1 Rh 0.0000 0.5000 0.5000 1
```

***

3.
VASP calculation (PBE) on a relaxed CrFeHRu2 crystal.

Properties
**Raw total energy**: -7.856 eV per atom
**Distance to the lowest polymorph of the same formula**: 0.43 eV per formula unit

Geometry as CIF:
```
data_CrFeHRu2
_symmetry_space_group_name_H-M 'P 4/m m m'
_symmetry_Int_Tables_number 123
_symmetry_space_group_name_Hall '-P 4 2'
_cell_length_a 3.7800
_cell_length_b 3.7800
_cell_length_c 3.6867
_cell_angle_alpha 90.00
_cell_angle_beta 90.00
_cell_angle_gamma 90.00
loop_
_atom_site_label
_atom_site_type_symbol
_atom_site_fract_x
_atom_site_fract_y
_atom_site_fract_z
_atom_site_occupancy
Cr1 Cr 0.0000 0.0000 0.0000 1
Fe1 Fe 0.5000 0.5000 0.0000 1
H1 H 0.0000 0.0000 0.5000 1
Ru1 Ru 0.0000 0.5000 0.5000 1
```

***

4.
VASP calculation (PBE) on a relaxed CrFeHRu2 crystal.

Properties
**Raw total energy**: -7.943 eV per atom
**Distance to the lowest polymorph of the same formula**: 0.00 eV per formula unit

Geometry as CIF:
```
data_CrFeHRu2
_symmetry_space_group_name_H-M 'P 4/m m m'
_symmetry_Int_Tables_number 123
_symmetry_space_group_name_Hall '-P 4 2'
_cell_length_a 3.8431
_cell_length_b 3.8431
_cell_length_c 3.6611
_cell_angle_alpha 90.00
_cell_angle_beta 90.00
_cell_angle_gamma 90.00
loop_
_atom_site_label
_atom_site_type_symbol
_atom_site_fract_x
_atom_site_fract_y
_atom_site_fract_z
_atom_site_occupancy
Cr1 Cr 0.0000 0.0000 0.0000 1
Fe1 Fe 0.5000 0.5000 0.0000 1
H1 H 0.5000 0.5000 0.5000 1
Ru1 Ru 0.0000 0.5000 0.5000 1
```

***

5.
VASP calculation (PBE) on a relaxed Cr2FeSbH crystal.

Properties
**Raw total energy**: -6.920 eV per atom

Geometry as CIF:
```
data_Cr2FeSbH
_symmetry_space_group_name_H-M 'P 4/m m m'
_symmetry_Int_Tables_number 123
_symmetry_space_group_name_Hall '-P 4 2'
_cell_length_a 3.8974
_cell_length_b 3.8974
_cell_length_c 3.8151
_cell_angle_alpha 90.00
_cell_angle_beta 90.00
_cell_angle_gamma 90.00
loop_
_atom_site_label
_atom_site_type_symbol
_atom_site_fract_x
_atom_site_fract_y
_atom_site_fract_z
_atom_site_occupancy
Cr1 Cr 0.0000 0.5000 0.0000 1
Fe1 Fe 0.0000 0.0000 0.5000 1
Sb1 Sb 0.5000 0.5000 0.5000 1
H1 H 0.0000 0.0000 0.0000 1
```

***

6.
VASP calculation (PBE) on a relaxed CrFe2SiH crystal.

Properties
**Raw total energy**: -7.209 eV per atom

Geometry as CIF:
```
data_CrFe2SiH
_symmetry_space_group_name_H-M 'P 4/m m m'
_symmetry_Int_Tables_number 123
_symmetry_space_group_name_Hall '-P 4 2'
_cell_length_a 3.5984
_cell_length_b 3.5984
_cell_length_c 3.6877
_cell_angle_alpha 90.00
_cell_angle_beta 90.00
_cell_angle_gamma 90.00
loop_
_atom_site_label
_atom_site_type_symbol
_atom_site_fract_x
_atom_site_fract_y
_atom_site_fract_z
_atom_site_occupancy
Cr1 Cr 0.0000 0.0000 0.0000 1
Fe1 Fe 0.0000 0.5000 0.5000 1
Si1 Si 0.5000 0.5000 0.0000 1
H1 H 0.0000 0.0000 0.5000 1
```

***

7.
VASP calculation (PBE) on a relaxed CrFe2SnH crystal.

Properties
**Raw total energy**: -6.698 eV per atom

Geometry as CIF:
```
data_CrFe2SnH
_symmetry_space_group_name_H-M 'P 4/m m m'
_symmetry_Int_Tables_number 123
_symmetry_space_group_name_Hall '-P 4 2'
_cell_length_a 3.8643
_cell_length_b 3.8643
_cell_length_c 3.8636
_cell_angle_alpha 90.00
_cell_angle_beta 90.00
_cell_angle_gamma 90.00
loop_
_atom_site_label
_atom_site_type_symbol
_atom_site_fract_x
_atom_site_fract_y
_atom_site_fract_z
_atom_site_occupancy
Cr1 Cr 0.0000 0.0000 0.0000 1
Fe1 Fe 0.0000 0.5000 0.5000 1
Sn1 Sn 0.5000 0.5000 0.0000 1
H1 H 0.0000 0.0000 0.5000 1
```

***

8.
VASP calculation (PBE) on a relaxed TaCrFe2H crystal.

Properties
**Raw total energy**: -7.686 eV per atom
**Distance to the lowest polymorph of the same formula**: 3.16 eV per formula unit

Geometry as CIF:
```
data_TaCrFe2H
_symmetry_space_group_name_H-M 'P 4/m m m'
_symmetry_Int_Tables_number 123
_symmetry_space_group_name_Hall '-P 4 2'
_cell_length_a 4.3851
_cell_length_b 4.3851
_cell_length_c 3.0389
_cell_angle_alpha 90.00
_cell_angle_beta 90.00
_cell_angle_gamma 90.00
loop_
_atom_site_label
_atom_site_type_symbol
_atom_site_fract_x
_atom_site_fract_y
_atom_site_fract_z
_atom_site_occupancy
Ta1 Ta 0.0000 0.0000 0.0000 1
Cr1 Cr 0.5000 0.5000 0.5000 1
Fe1 Fe 0.0000 0.5000 0.5000 1
H1 H 0.5000 0.5000 0.0000 1
```

***

9.
VASP calculation (PBE) on a relaxed TaCr2FeH crystal.

Properties
**Raw total energy**: -8.457 eV per atom

Geometry as CIF:
```
data_TaCr2FeH
_symmetry_space_group_name_H-M 'P 4/m m m'
_symmetry_Int_Tables_number 123
_symmetry_space_group_name_Hall '-P 4 2'
_cell_length_a 3.6501
_cell_length_b 3.6501
_cell_length_c 4.1065
_cell_angle_alpha 90.00
_cell_angle_beta 90.00
_cell_angle_gamma 90.00
loop_
_atom_site_label
_atom_site_type_symbol
_atom_site_fract_x
_atom_site_fract_y
_atom_site_fract_z
_atom_site_occupancy
Ta1 Ta 0.0000 0.0000 0.0000 1
Cr1 Cr 0.0000 0.5000 0.5000 1
Fe1 Fe 0.5000 0.5000 0.0000 1
H1 H 0.5000 0.5000 0.5000 1
```

***

10.
VASP calculation (PBE) on a relaxed TaCrFe2H crystal.

Properties
**Raw total energy**: -8.263 eV per atom
**Distance to the lowest polymorph of the same formula**: 0.28 eV per formula unit

Geometry as CIF:
```
data_TaCrFe2H
_symmetry_space_group_name_H-M 'P 4/m m m'
_symmetry_Int_Tables_number 123
_symmetry_space_group_name_Hall '-P 4 2'
_cell_length_a 3.6560
_cell_length_b 3.6560
_cell_length_c 3.9912
_cell_angle_alpha 90.00
_cell_angle_beta 90.00
_cell_angle_gamma 90.00
loop_
_atom_site_label
_atom_site_type_symbol
_atom_site_fract_x
_atom_site_fract_y
_atom_site_fract_z
_atom_site_occupancy
Ta1 Ta 0.0000 0.0000 0.0000 1
Cr1 Cr 0.5000 0.5000 0.0000 1
Fe1 Fe 0.0000 0.5000 0.5000 1
H1 H 0.0000 0.0000 0.5000 1
```

***

11.
VASP calculation (PBE) on a relaxed TaCrFe2H crystal.

Properties
**Raw total energy**: -8.318 eV per atom
**Distance to the lowest polymorph of the same formula**: 0.00 eV per formula unit

Geometry as CIF:
```
data_TaCrFe2H
_symmetry_space_group_name_H-M 'P 4/m m m'
_symmetry_Int_Tables_number 123
_symmetry_space_group_name_Hall '-P 4 2'
_cell_length_a 3.7172
_cell_length_b 3.7172
_cell_length_c 3.7844
_cell_angle_alpha 90.00
_cell_angle_beta 90.00
_cell_angle_gamma 90.00
loop_
_atom_site_label
_atom_site_type_symbol
_atom_site_fract_x
_atom_site_fract_y
_atom_site_fract_z
_atom_site_occupancy
Ta1 Ta 0.0000 0.0000 0.0000 1
Cr1 Cr 0.5000 0.5000 0.0000 1
Fe1 Fe 0.0000 0.5000 0.5000 1
H1 H 0.5000 0.5000 0.5000 1
```

***

12.
VASP calculation (PBE) on a relaxed CrFeTc2H crystal.

Properties
**Raw total energy**: -8.330 eV per atom

Geometry as CIF:
```
data_CrFeTc2H
_symmetry_space_group_name_H-M 'P 4/m m m'
_symmetry_Int_Tables_number 123
_symmetry_space_group_name_Hall '-P 4 2'
_cell_length_a 3.8725
_cell_length_b 3.8725
_cell_length_c 3.6344
_cell_angle_alpha 90.00
_cell_angle_beta 90.00
_cell_angle_gamma 90.00
loop_
_atom_site_label
_atom_site_type_symbol
_atom_site_fract_x
_atom_site_fract_y
_atom_site_fract_z
_atom_site_occupancy
Cr1 Cr 0.0000 0.0000 0.0000 1
Fe1 Fe 0.5000 0.5000 0.0000 1
Tc1 Tc 0.0000 0.5000 0.5000 1
H1 H 0.5000 0.5000 0.5000 1
```

***

13.
VASP calculation (PBE) on a relaxed CrFeTc2H crystal.

Properties
**Raw total energy**: -8.330 eV per atom

Geometry as CIF:
```
data_CrFeTc2H
_symmetry_space_group_name_H-M 'P 4/m m m'
_symmetry_Int_Tables_number 123
_symmetry_space_group_name_Hall '-P 4 2'
_cell_length_a 3.8497
_cell_length_b 3.8497
_cell_length_c 3.7184
_cell_angle_alpha 90.00
_cell_angle_beta 90.00
_cell_angle_gamma 90.00
loop_
_atom_site_label
_atom_site_type_symbol
_atom_site_fract_x
_atom_site_fract_y
_atom_site_fract_z
_atom_site_occupancy
Cr1 Cr 0.0000 0.0000 0.0000 1
Fe1 Fe 0.5000 0.5000 0.0000 1
Tc1 Tc 0.0000 0.5000 0.5000 1
H1 H 0.0000 0.0000 0.5000 1
```

***

14.
VASP calculation (PBE) on a relaxed Cr2FeTcH crystal.

Properties
**Raw total energy**: -8.202 eV per atom

Geometry as CIF:
```
data_Cr2FeTcH
_symmetry_space_group_name_H-M 'P 4/m m m'
_symmetry_Int_Tables_number 123
_symmetry_space_group_name_Hall '-P 4 2'
_cell_length_a 3.7412
_cell_length_b 3.7412
_cell_length_c 3.6106
_cell_angle_alpha 90.00
_cell_angle_beta 90.00
_cell_angle_gamma 90.00
loop_
_atom_site_label
_atom_site_type_symbol
_atom_site_fract_x
_atom_site_fract_y
_atom_site_fract_z
_atom_site_occupancy
Cr1 Cr 0.0000 0.5000 0.0000 1
Fe1 Fe 0.0000 0.0000 0.5000 1
Tc1 Tc 0.5000 0.5000 0.5000 1
H1 H 0.0000 0.0000 0.0000 1
```

***

15.
VASP calculation (PBE) on a relaxed TiCrFe2H crystal.

Properties
**Raw total energy**: -7.547 eV per atom

Geometry as CIF:
```
data_TiCrFe2H
_symmetry_space_group_name_H-M 'P 4/m m m'
_symmetry_Int_Tables_number 123
_symmetry_space_group_name_Hall '-P 4 2'
_cell_length_a 3.7842
_cell_length_b 3.7842
_cell_length_c 3.5777
_cell_angle_alpha 90.00
_cell_angle_beta 90.00
_cell_angle_gamma 90.00
loop_
_atom_site_label
_atom_site_type_symbol
_atom_site_fract_x
_atom_site_fract_y
_atom_site_fract_z
_atom_site_occupancy
Ti1 Ti 0.0000 0.0000 0.0000 1
Cr1 Cr 0.5000 0.5000 0.0000 1
Fe1 Fe 0.0000 0.5000 0.5000 1
H1 H 0.5000 0.5000 0.5000 1
```

***

| no. | total magnetic moment (μB per cell) |
| --- | --- |
| 1 | 0.05 |
| 2 | 0.23 |
| 3 | 0.00 |
| 4 | 0.49 |
| 5 | 5.58 |
| 6 | 4.62 |
| 7 | 6.42 |
| 8 | 0.00 |
| 9 | 2.28 |
| 10 | 2.06 |
| 11 | 1.44 |
| 12 | 1.16 |
| 13 | 0.99 |
| 14 | 0.87 |
| 15 | 3.69 |